(P)
# LaCoRu2

A geometry-optimized LaCoRu2 structure (PBE, Alexandria via LeMat-Bulk).

The structure in POSCAR format:
```
LaCoRu2
1.0
3.138 0.000 0.000
0.000 4.642 0.000
0.000 0.000 4.729
La Co Ru
1 1 2
Cartesian
0.000 0.000 0.000
1.569 0.000 2.365
0.000 2.321 2.365
1.569 2.321 0.000
```

Calculated values
Calculated density = 9641 kg/m³
Space group = Pmmm, No. 47

***

(Q)
# LaCoRu2

A geometry-optimized LaCoRu2 structure (PBE, Alexandria via LeMat-Bulk).

The structure in POSCAR format:
```
LaCoRu2
1.0
1.435 0.829 9.325
-1.435 0.829 9.325
0.000 -1.657 9.325
La Co Ru
1 1 2
Cartesian
0.000 0.000 0.000
0.000 0.000 13.987
0.000 0.000 6.612
0.000 0.000 21.363
```

Calculated values
Calculated density = 9980 kg/m³
Space group = R-3m, No. 166

***

Unit: meV/atom. Relative energies: (P) 0; (Q) 231.

***

(P)
# LaCo2Ru2

A geometry-optimized LaCo2Ru2 structure (PBE, Alexandria via LeMat-Bulk).

The structure in POSCAR format:
```
LaCo2Ru2
1.0
-2.061 2.061 5.009
2.061 -2.061 5.009
2.061 2.061 -5.009
La Co Ru
1 2 2
Cartesian
0.000 0.000 0.000
0.000 0.000 3.854
0.000 0.000 6.165
2.061 0.000 2.505
0.000 2.061 2.505
```

Calculated values
Calculated density = 8956 kg/m³
Space group = I4/mmm, No. 139

***

(Q)
# LaCo2Ru2

A geometry-optimized LaCo2Ru2 structure (PBE, Alexandria via LeMat-Bulk).

The structure in POSCAR format:
```
LaCo2Ru2
1.0
-2.093 2.093 4.974
2.093 -2.093 4.974
2.093 2.093 -4.974
La Co Ru
1 2 2
Cartesian
0.000 0.000 0.000
2.093 0.000 2.487
0.000 2.093 2.487
0.000 0.000 3.764
0.000 0.000 6.183
```

Calculated values
Calculated density = 8739 kg/m³
Space group = I4/mmm, No. 139

***

Unit: meV/atom. Relative energies: (P) 0; (Q) 15.

***

(P)
# LaCo3Ru

A geometry-optimized LaCo3Ru structure (PBE, Alexandria via LeMat-Bulk).

The structure in POSCAR format:
```
LaCo3Ru
1.0
4.458 0.000 0.000
0.000 4.458 0.000
0.000 0.000 4.458
La Co Ru
1 3 1
Cartesian
0.000 0.000 0.000
0.000 0.000 2.229
0.000 2.229 0.000
2.229 0.000 0.000
2.229 2.229 2.229
```

Calculated values
Calculated density = 7813 kg/m³
Space group = Pm-3m, No. 221

***

(Q)
# LaCo3Ru

A geometry-optimized LaCo3Ru structure (PBE, Alexandria via LeMat-Bulk).

The structure in POSCAR format:
```
LaCo3Ru
1.0
4.501 0.000 0.000
0.000 4.501 0.000
0.000 0.000 4.501
La Co Ru
1 3 1
Cartesian
0.000 0.000 0.000
0.000 2.251 2.251
2.251 0.000 2.251
2.251 2.251 0.000
2.251 2.251 2.251
```

Calculated values
Calculated density = 7589 kg/m³
Space group = Pm-3m, No. 221

***

Unit: meV/atom. Relative energies: (P) 1210; (Q) 0.

***

(P)
# LaCo3S

A geometry-optimized LaCo3S structure (PBE, Alexandria via LeMat-Bulk).

The structure in POSCAR format:
```
LaCo3S
1.0
4.289 0.000 0.000
0.000 4.289 0.000
0.000 0.000 4.289
La Co S
1 3 1
Cartesian
0.000 0.000 0.000
0.000 2.145 2.145
2.145 0.000 2.145
2.145 2.145 0.000
2.145 2.145 2.145
```

Calculated values
Calculated density = 7317 kg/m³
Space group = Pm-3m, No. 221

***

(Q)
# LaCo3S

A geometry-optimized LaCo3S structure (PBE, Alexandria via LeMat-Bulk).

The structure in POSCAR format:
```
LaCo3S
1.0
4.626 0.000 0.000
0.000 4.626 0.000
0.000 0.000 4.626
La Co S
1 3 1
Cartesian
0.000 0.000 0.000
0.000 0.000 2.313
0.000 2.313 0.000
2.313 0.000 0.000
2.313 2.313 2.313
```

Calculated values
Calculated density = 5835 kg/m³
Space group = Pm-3m, No. 221

***

Unit: meV/atom. Relative energies: (P) 0; (Q) 1805.

***

(P)
# La3CoSb

A geometry-optimized La3CoSb structure (PBE, Alexandria via LeMat-Bulk).

The structure in POSCAR format:
```
La3CoSb
1.0
5.291 0.000 0.000
0.000 5.291 0.000
0.000 0.000 5.291
La Co Sb
3 1 1
Cartesian
0.000 0.000 2.646
0.000 2.646 0.000
2.646 0.000 0.000
0.000 0.000 0.000
2.646 2.646 2.646
```

Calculated values
Calculated density = 6696 kg/m³
Space group = Pm-3m, No. 221

***

(Q)
# La3CoSb

A geometry-optimized La3CoSb structure (PBE, Alexandria via LeMat-Bulk).

The structure in POSCAR format:
```
La3CoSb
1.0
8.463 0.000 0.000
0.000 4.664 0.000
0.000 0.000 15.024
La Co Sb
12 4 4
Cartesian
0.311 1.166 1.466
1.232 1.166 7.611
1.744 3.498 4.389
2.488 1.166 11.901
3.000 3.498 0.099
3.921 3.498 8.977
4.543 1.166 6.046
5.464 1.166 14.925
5.976 3.498 3.122
6.720 1.166 10.634
7.231 3.498 7.413
8.152 3.498 13.558
1.469 1.166 14.084
2.763 3.498 6.573
5.701 1.166 8.451
6.994 3.498 0.939
0.675 3.498 10.201
3.556 1.166 2.689
4.907 3.498 12.334
7.788 1.166 4.822
```

Calculated values
Calculated density = 6691 kg/m³
Space group = Pnma, No. 62

***

(R)
# La3CoSb

A geometry-optimized La3CoSb structure (PBE, Alexandria via LeMat-Bulk).

The structure in POSCAR format:
```
La3CoSb
1.0
9.456 0.000 0.000
0.000 6.773 0.000
-4.424 0.000 9.744
La Co Sb
12 4 4
Cartesian
-1.242 0.356 3.392
-3.454 3.030 8.264
-0.507 3.774 5.178
1.705 6.386 0.306
0.189 1.629 8.036
2.401 1.757 3.164
2.632 5.016 6.580
4.843 5.144 1.708
3.327 0.388 9.438
5.539 2.999 4.566
8.487 3.743 1.480
6.275 6.417 6.352
0.297 1.650 1.175
-1.915 1.737 6.046
6.947 5.037 3.697
4.735 5.123 8.569
-0.242 5.067 8.187
1.970 5.092 3.315
3.062 1.681 6.428
5.274 1.706 1.556
```

Calculated values
Calculated density = 6359 kg/m³
Space group = P2_1/c, No. 14

***

Unit: meV/atom. Relative energies: (P) 93; (Q) 0; (R) 135.

***

(P)
# LaCoSb2

A geometry-optimized LaCoSb2 structure (PBE, Alexandria via LeMat-Bulk).

The structure in POSCAR format:
```
LaCoSb2
1.0
4.948 0.000 0.000
0.000 4.297 0.000
-1.546 0.000 5.024
La Co Sb
1 1 2
Cartesian
0.000 0.000 0.000
3.344 2.148 3.018
0.821 2.148 3.465
2.485 0.000 1.906
```

Calculated values
Calculated density = 6861 kg/m³
Space group = Pm, No. 6

***

(Q)
# LaCoSb2

A geometry-optimized LaCoSb2 structure (PBE, Alexandria via LeMat-Bulk).

The structure in POSCAR format:
```
LaCoSb2
1.0
-2.214 2.214 10.005
2.214 -2.214 10.005
2.214 2.214 -10.005
La Co Sb
2 2 4
Cartesian
0.000 0.000 2.570
0.000 0.000 17.440
2.214 0.000 5.003
0.000 2.214 5.003
2.214 0.000 0.000
0.000 0.000 6.287
0.000 2.214 0.000
0.000 0.000 13.723
```

Calculated values
Calculated density = 7471 kg/m³
Space group = I4/mmm, No. 139

***

(R)
# LaCoSb2

A geometry-optimized LaCoSb2 structure (PBE, Alexandria via LeMat-Bulk).

The structure in POSCAR format:
```
LaCoSb2
1.0
-2.226 2.226 4.954
2.226 -2.226 4.954
2.226 2.226 -4.954
La Co Sb
1 1 2
Cartesian
0.000 0.000 0.000
2.226 0.000 2.477
0.000 0.000 4.954
0.000 2.226 2.477
```

Calculated values
Calculated density = 7465 kg/m³
Space group = I-4m2, No. 119

***

Unit: meV/atom. Relative energies: (P) 315; (Q) 0; (R) 518.

***

(P)
# LaCoSbTe2

A geometry-optimized LaCoSbTe2 structure (PBE, Alexandria via LeMat-Bulk).

The structure in POSCAR format:
```
LaCoSbTe2
1.0
5.345 0.000 0.000
0.000 5.345 0.000
0.000 0.000 4.699
La Co Sb Te
1 1 1 2
Cartesian
0.000 0.000 0.000
2.673 2.673 2.350
2.673 2.673 0.000
0.000 2.673 2.350
2.673 0.000 2.350
```

Calculated values
Calculated density = 7109 kg/m³
Space group = P4/mmm, No. 123

***

(Q)
# LaCoSbTe2

A geometry-optimized LaCoSbTe2 structure (PBE, Alexandria via LeMat-Bulk).

The structure in POSCAR format:
```
LaCoSbTe2
1.0
6.084 0.000 0.000
0.000 6.084 0.000
0.000 0.000 6.176
La Co Sb Te
1 1 1 2
Cartesian
0.000 0.000 0.000
3.042 3.042 3.088
0.000 0.000 3.088
0.000 3.042 0.000
3.042 0.000 0.000
```

Calculated values
Calculated density = 4176 kg/m³
Space group = P4/mmm, No. 123

***

Unit: meV/atom. Relative energies: (P) 0; (Q) 1250.

***

(P)
# La2ScCo

A geometry-optimized La2ScCo structure (PBE, Alexandria via LeMat-Bulk).

The structure in POSCAR format:
```
La2ScCo
1.0
3.126 -4.906 0.000
3.126 4.906 0.000
-1.263 0.000 3.234
La Sc Co
2 1 1
Cartesian
1.563 2.453 0.000
1.563 -2.453 0.000
-0.632 0.000 1.617
2.495 0.000 1.617
```

Calculated values
Calculated density = 6390 kg/m³
Space group = C2/m, No. 12

***

(Q)
# La2ScCo

A geometry-optimized La2ScCo structure (PBE, Alexandria via LeMat-Bulk).

The structure in POSCAR format:
```
La2ScCo
1.0
0.000 3.629 3.629
3.629 0.000 3.629
3.629 3.629 0.000
La Sc Co
2 1 1
Cartesian
0.000 0.000 0.000
1.815 1.815 1.815
3.629 3.629 3.629
5.444 5.444 5.444
```

Calculated values
Calculated density = 6628 kg/m³
Space group = F-43m, No. 216

***

(R)
# La2ScCo

A geometry-optimized La2ScCo structure (PBE, Alexandria via LeMat-Bulk).

The structure in POSCAR format:
```
La2ScCo
1.0
-2.146 2.146 5.356
2.146 -2.146 5.356
2.146 2.146 -5.356
La Sc Co
2 1 1
Cartesian
0.000 0.000 0.000
0.000 2.146 2.678
2.146 0.000 2.678
0.000 0.000 5.356
```

Calculated values
Calculated density = 6424 kg/m³
Space group = I-4m2, No. 119

***

Unit: meV/atom. Relative energies: (P) 111; (Q) 22; (R) 0.

***

(P)
# La2ScCo

A geometry-optimized La2ScCo structure (PBE, Alexandria via LeMat-Bulk).

The structure in POSCAR format:
```
La2ScCo
1.0
0.000 3.698 3.698
3.698 0.000 3.698
3.698 3.698 0.000
La Sc Co
2 1 1
Cartesian
1.849 1.849 1.849
5.546 5.546 5.546
0.000 0.000 0.000
3.698 3.698 3.698
```

Calculated values
Calculated density = 6269 kg/m³
Space group = Fm-3m, No. 225

***

(Q)
# La2ScCo

A geometry-optimized La2ScCo structure (PBE, Alexandria via LeMat-Bulk).

The structure in POSCAR format:
```
La2ScCo
1.0
5.261 0.000 0.000
0.000 5.261 0.000
0.000 0.000 3.685
La Sc Co
2 1 1
Cartesian
0.000 2.630 0.000
2.630 0.000 0.000
0.000 0.000 1.843
2.630 2.630 1.843
```

Calculated values
Calculated density = 6214 kg/m³
Space group = P4/mmm, No. 123

***

Unit: meV/atom. Relative energies: (P) 83; (Q) 0.

***

(P)
# LaScCo3

A geometry-optimized LaScCo3 structure (PBE, Alexandria via LeMat-Bulk).

The structure in POSCAR format:
```
LaScCo3
1.0
4.558 0.000 0.000
0.000 4.558 0.000
0.000 0.000 4.558
La Sc Co
1 1 3
Cartesian
0.000 0.000 0.000
2.279 2.279 2.279
0.000 2.279 2.279
2.279 0.000 2.279
2.279 2.279 0.000
```

Calculated values
Calculated density = 6323 kg/m³
Space group = Pm-3m, No. 221

***

(Q)
# LaScCo3

A geometry-optimized LaScCo3 structure (PBE, Alexandria via LeMat-Bulk).

The structure in POSCAR format:
```
LaScCo3
1.0
4.566 0.000 0.000
0.000 4.566 0.000
0.000 0.000 4.566
La Sc Co
1 1 3
Cartesian
0.000 0.000 0.000
2.283 2.283 2.283
0.000 0.000 2.283
0.000 2.283 0.000
2.283 0.000 0.000
```

Calculated values
Calculated density = 6289 kg/m³
Space group = Pm-3m, No. 221

***

Unit: meV/atom. Relative energies: (P) 0; (Q) 512.

***

(P)
# LaSc2TlCo

A geometry-optimized LaSc2TlCo structure (PBE, Alexandria via LeMat-Bulk).

The structure in POSCAR format:
```
LaSc2TlCo
1.0
4.902 0.000 0.000
0.000 4.902 0.000
0.000 0.000 5.107
La Sc Tl Co
1 2 1 1
Cartesian
0.000 0.000 0.000
0.000 2.451 2.553
2.451 0.000 2.553
2.451 2.451 0.000
2.451 2.451 2.553
```

Calculated values
Calculated density = 6660 kg/m³
Space group = P4/mmm, No. 123

***

(Q)
# LaSc2TlCo

A geometry-optimized LaSc2TlCo structure (PBE, Alexandria via LeMat-Bulk).

The structure in POSCAR format:
```
LaSc2TlCo
1.0
4.985 0.000 0.000
0.000 4.985 0.000
0.000 0.000 5.135
La Sc Tl Co
1 2 1 1
Cartesian
0.000 0.000 0.000
0.000 2.492 2.568
2.492 0.000 2.568
2.492 2.492 0.000
0.000 0.000 2.568
```

Calculated values
Calculated density = 6405 kg/m³
Space group = P4/mmm, No. 123

***

Unit: meV/atom. Relative energies: (P) 76; (Q) 0.

***

(P)
# LaCoSe3

A geometry-optimized LaCoSe3 structure (PBE, Alexandria via LeMat-Bulk).

The structure in POSCAR format:
```
LaCoSe3
1.0
4.773 0.000 0.000
0.000 4.773 0.000
0.000 0.000 4.773
La Co Se
1 1 3
Cartesian
0.000 0.000 0.000
2.387 2.387 2.387
0.000 2.387 2.387
2.387 0.000 2.387
2.387 2.387 0.000
```

Calculated values
Calculated density = 6637 kg/m³
Space group = Pm-3m, No. 221

***

(Q)
# LaCoSe3

A geometry-optimized LaCoSe3 structure (PBE, Alexandria via LeMat-Bulk).

The structure in POSCAR format:
```
LaCoSe3
1.0
5.728 0.000 0.000
0.000 5.728 0.000
0.000 0.000 5.728
La Co Se
1 1 3
Cartesian
0.000 0.000 0.000
2.864 2.864 2.864
0.000 0.000 2.864
0.000 2.864 0.000
2.864 0.000 0.000
```

Calculated values
Calculated density = 3840 kg/m³
Space group = Pm-3m, No. 221

***

Unit: meV/atom. Relative energies: (P) 0; (Q) 1194.